Here is an optimized crystal structure of La2Pr3NdS6 from the Alexandria database. Energies are from PBE.

Results
**E_tot**: -6.555 eV per atom
**DOS(E_F)**: 0.468 states/eV per atom
**Raw formation energy**: -2.0783 eV/atom

Unit cell a=7.1270 b=12.3719 c=7.1194 alpha=90.00 beta=109.57 gamma=90.00
Space group C2/m (No. 12)
One atom of each set of equivalent atoms:
La  0.0000  0.1662  0.0000 x4
Pr  0.0000  0.0000  0.5000 x2
Pr  0.0000  0.3331  0.5000 x4
Nd  0.0000  0.5000  0.0000 x2
S  0.2471  0.5000  0.7491 x4
S  0.2486  0.3344  0.2496 x8